## Na3FeO3 (PBE+U)

Data for a geometry-optimized Na3FeO3 structure.

Unit cell a=6.1312 b=6.1312 c=5.9461 alpha=94.34 beta=94.34 gamma=115.30
Last column: nearest neighbours and their distance in Å.
Element x y z (fractional)
Na1 0.1942 0.8058 0.0000  2 O 2.35
Na2 0.2563 0.7437 0.5000  2 O 2.33
Na3 0.3753 0.3753 0.1382  1 O 2.19
Na4 0.6247 0.6247 0.8618  1 O 2.19
Na5 0.7437 0.2563 0.5000  2 O 2.33
Na6 0.8058 0.1942 0.0000  2 O 2.35
Fe1 0.1869 0.1869 0.6419  4 O 1.86-1.97
Fe2 0.8131 0.8131 0.3581  4 O 1.86-1.97
O1 0.1018 0.1018 0.3102  2 Fe 1.96-1.97, 1 Na 2.19
O2 0.1733 0.4676 0.7675  1 Fe 1.86
O3 0.4676 0.1733 0.7675  1 Fe 1.86
O4 0.5324 0.8267 0.2325  1 Fe 1.86
O5 0.8267 0.5324 0.2325  1 Fe 1.86
O6 0.8982 0.8982 0.6898  2 Fe 1.96-1.97, 1 Na 2.19

- M_tot: 10.00 μB per cell
- Energy relative to the lowest polymorph listed for this composition: 0.039 eV per atom